(1)
# PmCd3Ag3

A geometry-optimized PmCd3Ag3 structure (GGA-PBE, the Alexandria database).

abc: 7.839 7.839 7.839
angles: 56.47 56.47 56.47
Element x y z (fractional)
Pm: 0.155 0.155 0.155
Pm: 0.845 0.845 0.845
Cd: 0.065 0.581 0.229
Cd: 0.229 0.065 0.581
Cd: 0.419 0.771 0.935
Cd: 0.581 0.229 0.065
Cd: 0.771 0.935 0.419
Cd: 0.935 0.419 0.771
Ag: 0.215 0.670 0.434
Ag: 0.330 0.566 0.785
Ag: 0.434 0.215 0.670
Ag: 0.566 0.785 0.330
Ag: 0.670 0.434 0.215
Ag: 0.785 0.330 0.566

Offset from the most stable computed form ... 0 meV/atom
Calculated formation energy ... -0.98 eV/f.u.
DOS at the Fermi energy ... 0.384 states/eV/atom
Crystal system ... trigonal

(2)
# Zr4ScOs

A geometry-optimized Zr4ScOs structure (GGA-PBE, the Alexandria database).

abc: 5.787 5.787 6.051
angles: 120.74 120.74 49.50
Element x y z (fractional)
Zr: 0.146 0.146 0.304
Zr: 0.208 0.208 0.854
Zr: 0.792 0.792 0.146
Zr: 0.854 0.854 0.696
Sc: 0.500 0.500 0.500
Os: 0.500 0.500 0.000

Offset from the most stable computed form ... 0 meV/atom
Calculated formation energy ... -1.07 eV/f.u.
DOS at the Fermi energy ... 0.929 states/eV/atom
Crystal system ... monoclinic

(3)
# ErCuPb

A geometry-optimized ErCuPb structure (GGA-PBE, the Alexandria database).

abc: 6.313 6.313 6.313
angles: 148.37 148.37 45.34
Element x y z (fractional)
Er: 0.000 0.000 0.000
Cu: 0.636 0.636 0.000
Pb: 0.290 0.290 0.000

Calculated formation energy ... -0.46 eV/f.u.
DOS at the Fermi energy ... 0.488 states/eV/atom
Crystal system ... tetragonal